PBE-GGA ZnCd2Rh, optimized geometry; DOS(E_F) = 2.73 states/eV/f.u.; theoretical density = 8.9 Mg/m³; crystal system = trigonal; spin magnetization = 0.019 μB/atom; SG = R3m (160); total energy = -10.5 eV per cell; energy of formation = -0.01 eV/atom
1.0
-6.598 0.251 -7.218
-4.147 0.036 -8.859
-5.422 -2.404 -7.779
Cd Rh Zn
2 1 1
direct
0.005 0.005 0.005
0.240 0.240 0.240
0.494 0.494 0.494
0.761 0.761 0.761